No. 1
The following is a PBE calculation of a relaxed structure of KSrMo2, from Alexandria via LeMat-Bulk.

Volume ... 23.010 Å³ per atom

Structure (extended XYZ):
```
4
Lattice="1.492 0.861 11.936 -1.492 0.861 11.936 0.000 -1.723 11.936" Properties=species:S:1:pos:R:3 pbc="T T T"
K 0.000 0.000 0.000
Sr 0.000 0.000 17.904
Mo 0.000 0.000 8.823
Mo 0.000 0.000 26.985
```

---

No. 2
The following is a PBE calculation of a relaxed structure of KSrMo2, from Alexandria via LeMat-Bulk.

Volume ... 29.472 Å³ per atom

Structure (extended XYZ):
```
4
Lattice="0.000 3.892 3.892 3.892 0.000 3.892 3.892 3.892 0.000" Properties=species:S:1:pos:R:3 pbc="T T T"
K 0.000 0.000 0.000
Sr 3.892 3.892 3.892
Mo 1.946 1.946 1.946
Mo 5.838 5.838 5.838
```

---

No. 3
The following is a PBE calculation of a relaxed structure of KSrMo2, from Alexandria via LeMat-Bulk.

Volume ... 23.101 Å³ per atom

Structure (extended XYZ):
```
4
Lattice="0.000 3.588 3.588 3.588 0.000 3.588 3.588 3.588 0.000" Properties=species:S:1:pos:R:3 pbc="T T T"
K 0.000 0.000 0.000
Sr 1.794 1.794 1.794
Mo 3.588 3.588 3.588
Mo 5.382 5.382 5.382
```

---

No. 4
The following is a PBE calculation of a relaxed structure of K2SrMo, from Alexandria via LeMat-Bulk.

Volume ... 45.467 Å³ per atom

Structure (extended XYZ):
```
4
Lattice="3.956 0.000 0.000 0.000 3.964 0.000 -0.022 0.000 11.596" Properties=species:S:1:pos:R:3 pbc="T T T"
K 0.000 0.000 0.000
K 1.954 1.982 3.896
Sr 1.950 1.982 8.035
Mo 3.928 0.000 6.261
```

---

No. 5
The following is a PBE calculation of a relaxed structure of KSrMo2, from Alexandria via LeMat-Bulk.

Volume ... 27.954 Å³ per atom

Structure (extended XYZ):
```
8
Lattice="-4.496 4.496 2.766 4.496 -4.496 2.766 4.496 4.496 -2.766" Properties=species:S:1:pos:R:3 pbc="T T T"
K 0.000 0.000 0.000
K 0.000 4.496 1.383
Sr 4.496 0.000 1.383
Sr 0.000 0.000 2.766
Mo 2.248 2.244 -0.691
Mo 2.252 -2.248 3.457
Mo 2.248 2.252 2.074
Mo 2.244 6.744 0.691
```

---

No. 6
The following is a PBE calculation of a relaxed structure of KSr3Mo, from Alexandria via LeMat-Bulk.

Volume ... 46.988 Å³ per atom

Structure (extended XYZ):
```
5
Lattice="6.171 0.000 0.000 0.000 6.171 0.000 0.000 0.000 6.171" Properties=species:S:1:pos:R:3 pbc="T T T"
K 0.000 0.000 0.000
Sr 0.000 3.085 3.085
Sr 3.085 0.000 3.085
Sr 3.085 3.085 0.000
Mo 3.085 3.085 3.085
```

---

Calculated ΔE_f in order - 1.523, 2.007, 1.491, 0.979, 1.959, 0.705 eV/atom
Calculated calculated density in order - 5748, 4488, 5725, 2390, 4731, 2812 kg/m3
Calculated excess energy over the best structure of this formula in the dataset in order - 814, 1297, 782, 0, 1249, 0 meV per atom